# 1
First-principles (GGA-PBE) data for a relaxed LaTlSbI2 crystal, as listed in Alexandria via LeMat-Bulk.

```
5
Lattice="-1.822 -0.538 5.635 5.659 -0.336 1.798 0.152 5.781 0.601" Properties=species:S:1:pos:R:3 pbc="T T T"
I 2.829 -0.168 0.899
I -0.911 -0.269 2.818
Sb 0.076 2.890 0.301
Tl 0.000 0.000 0.000
La 1.994 2.453 4.017
```

The formation energy from raw total energies comes out at -0.09 eV/atom. The calculation puts the density of states at the Fermi level at 3.167 states/eV per cell. Its space-group type is P4/mmm.

---

# 2
First-principles (GGA-PBE) data for a relaxed LaTlSb2I crystal, as listed in Alexandria via LeMat-Bulk.

```
5
Lattice="6.002 0.000 0.000 0.000 6.002 0.000 0.000 0.000 6.927" Properties=species:S:1:pos:R:3 pbc="T T T"
I 3.001 3.001 3.463
Sb 0.000 3.001 0.000
Sb 3.001 0.000 0.000
Tl 0.000 0.000 3.463
La 0.000 0.000 0.000
```

The formation energy from raw total energies comes out at 0.31 eV/atom. The calculation puts the density of states at the Fermi level at 5.986 states/eV per cell. Its space-group type is P4/mmm.

---

# 3
First-principles (GGA-PBE) data for a relaxed LaYSb2I crystal, as listed in Alexandria via LeMat-Bulk.

```
5
Lattice="-2.324 1.530 4.892 -0.029 -6.172 1.916 5.125 0.668 2.227" Properties=species:S:1:pos:R:3 pbc="T T T"
I 1.386 -1.987 4.517
Sb 2.563 0.334 1.113
Sb -1.162 0.765 2.446
Y 0.000 0.000 0.000
La -0.014 -3.086 0.958
```

The formation energy from raw total energies comes out at -0.04 eV/atom. The calculation puts the density of states at the Fermi level at 2.587 states/eV per cell. Its space-group type is P4/mmm.

---

# 4
First-principles (GGA-PBE) data for a relaxed LaYSb2I crystal, as listed in Alexandria via LeMat-Bulk.

```
5
Lattice="-4.489 0.151 4.043 3.297 -3.363 3.787 2.294 4.911 2.364" Properties=species:S:1:pos:R:3 pbc="T T T"
I 1.147 2.455 1.182
Sb 1.648 -1.682 1.893
Sb -2.245 0.075 2.021
Y 0.551 0.849 5.097
La 0.000 0.000 0.000
```

The formation energy from raw total energies comes out at -0.01 eV/atom. The calculation puts the density of states at the Fermi level at 3.171 states/eV per cell. Its space-group type is P4/mmm.

---

> Which value of formation energy from raw total energies does entry 4 give?

-0.01 eV/atom

---

> Which value of formation energy from raw total energies does entry 4 give?

-0.01 eV/atom

---

> Among the records above, which one has the highest formation energy from raw total energies?

LaTlSb2I